a | Computed, not measured: a relaxed structure of Y6Er2Mg at the PBE level of DFT.

size of the total moment: 0.00 μB/f.u.

Lattice parameters (Å, degrees): 10.524 10.524 5.051 90.00 90.00 90.00
Space group P4_2/mnm (No. 136)
Unique sites:
Y (0.003, 0.332, 0.000)
Y (0.162, 0.838, 0.500)
Er (0.170, 0.170, 0.500)
Mg (0.000, 0.000, 0.000)

b | Computed, not measured: a relaxed structure of Y6Er2Mg at the PBE level of DFT.

size of the total moment: 0.01 μB/f.u.

Lattice parameters (Å, degrees): 11.271 3.466 15.120 90.00 98.99 90.00
Space group C2/m (No. 12)
Unique sites:
Y (0.048, 0.000, 0.227)
Y (0.126, 0.500, 0.439)
Y (0.201, 0.500, 0.900)
Er (0.162, 0.500, 0.670)
Mg (0.000, 0.000, 0.000)

From most stable to least stable, the computed energies give a, b.

a | Computed, not measured: a relaxed structure of YErMg at the PBE level of DFT.

size of the total moment: 0.00 μB/f.u.

Lattice parameters (Å, degrees): 3.665 5.451 8.778 90.00 102.07 90.00
Space group P2_1/m (No. 11)
Unique sites:
Y (0.092, 0.250, 0.185)
Er (0.227, 0.750, 0.455)
Mg (0.434, 0.250, 0.866)

b | Computed, not measured: a relaxed structure of YErMg at the PBE level of DFT.

size of the total moment: 0.02 μB/f.u.

Lattice parameters (Å, degrees): 3.433 5.320 5.389 90.00 90.00 90.00
Space group Pmmm (No. 47)
Unique sites:
Y (0.000, 0.000, 0.000)
Er (0.000, 0.500, 0.500)
Mg (0.500, 0.000, 0.500)

c | Computed, not measured: a relaxed structure of YErMg at the PBE level of DFT.

size of the total moment: 0.00 μB/f.u.

Lattice parameters (Å, degrees): 3.453 5.373 9.410 89.98 89.92 89.98
Space group P1 (No. 1)
Unique sites:
Y (0.000, 0.000, 0.000)
Y (0.001, 0.500, 0.493)
Er (0.498, 0.500, 0.831)
Er (0.501, 0.000, 0.661)
Mg (0.504, 0.001, 0.326)
Mg (0.504, 0.501, 0.166)

From most stable to least stable, the computed energies give a, c, b.

a | Computed, not measured: a relaxed structure of YErMg at the PBE level of DFT.

size of the total moment: 0.00 μB/f.u.

Lattice parameters (Å, degrees): 5.4276 5.4276 3.3839 90.00 90.00 120.00
Space group P3m1 (No. 156)
Unique sites:
Y (0.0000, 0.0000, 0.0000)
Er (0.3333, 0.6667, 0.4270)
Mg (0.6667, 0.3333, 0.6993)

b | Computed, not measured: a relaxed structure of YErMg at the PBE level of DFT.

size of the total moment: 0.41 μB/f.u.

Lattice parameters (Å, degrees): 3.694 3.694 12.610 90.00 90.00 90.00
Space group I4mm (No. 107)
Unique sites:
Y (0.000, 0.000, 0.000)
Er (0.000, 0.000, 0.315)
Mg (0.000, 0.000, 0.659)

From most stable to least stable, the computed energies give b, a.